[1]
TbHoPu2N4, optimized geometry, DFT PBE-GGA; E = -82.98 eV per cell; magnetization = 9.540 μB/cell; SG = P2/m, No. 10; formation energy from raw total energies = -11.80 eV/f.u.
1.0
-0.616 -0.445 3.400
4.575 -3.925 0.315
2.021 5.536 1.090
Tb Ho Pu N
1 1 2 4
direct
0.000 0.000 0.000
0.500 0.500 0.000
0.500 0.000 0.500
0.000 0.500 0.500
0.500 0.255 0.259
0.500 0.745 0.741
0.000 0.250 0.743
0.000 0.750 0.257

[2]
Tb2HoPuN4, optimized geometry, DFT PBE-GGA; E = -74.06 eV per cell; magnetization = 4.694 μB/cell; SG = P2/m, No. 10; formation energy from raw total energies = -12.58 eV/f.u.
1.0
-2.645 1.769 1.421
0.482 -3.296 4.999
3.504 4.859 0.472
Tb Ho Pu N
2 1 1 4
direct
0.500 0.000 0.500
0.000 0.500 0.500
0.500 0.500 0.000
0.000 0.000 0.000
0.500 0.244 0.241
0.500 0.756 0.759
0.000 0.248 0.757
0.000 0.752 0.243

[3]
Ho2PuTcN4, optimized geometry, DFT PBE-GGA; E = -150.65 eV per cell; magnetization = 9.117 μB/cell; SG = Cmcm, No. 63; formation energy from raw total energies = -8.17 eV/f.u.
1.0
-1.489 -0.392 -2.984
-4.299 -0.787 4.138
-2.372 11.339 -0.306
Ho Pu Tc N
4 2 2 8
direct
0.369 0.738 0.541
0.631 0.262 0.041
0.631 0.262 0.459
0.369 0.738 0.959
0.114 0.229 0.750
0.886 0.771 0.250
0.855 0.710 0.750
0.145 0.290 0.250
0.267 0.535 0.129
0.733 0.465 0.629
0.733 0.465 0.871
0.267 0.535 0.371
0.000 0.000 0.500
0.000 0.000 0.000
0.458 0.916 0.750
0.542 0.084 0.250

[4]
HoPu2ThN4, optimized geometry, DFT PBE-GGA; E = -85.47 eV per cell; magnetization = 9.699 μB/cell; SG = P2/m, No. 10; formation energy from raw total energies = -11.50 eV/f.u.
1.0
3.538 0.000 0.000
0.000 6.059 -0.107
0.000 2.147 5.737
Ho Pu Th N
1 2 1 4
direct
0.000 0.500 0.500
0.000 0.000 0.000
0.500 0.000 0.500
0.500 0.500 0.000
0.000 0.758 0.739
0.000 0.242 0.261
0.500 0.757 0.253
0.500 0.243 0.747

[5]
Ho2PuThN4, optimized geometry, DFT PBE-GGA; E = -76.62 eV per cell; magnetization = 4.946 μB/cell; SG = P2/m, No. 10; formation energy from raw total energies = -12.41 eV/f.u.
1.0
3.525 0.000 0.000
0.000 6.083 0.093
0.000 -2.141 5.719
Ho Pu Th N
2 1 1 4
direct
0.500 0.000 0.500
0.000 0.500 0.500
0.000 0.000 0.000
0.500 0.500 0.000
0.500 0.244 0.250
0.500 0.756 0.750
0.000 0.247 0.744
0.000 0.753 0.256

[6]
HoPuTiN3, optimized geometry, DFT PBE-GGA; E = -118.41 eV per cell; magnetization = 10.347 μB/cell; SG = P2_1/m, No. 11; formation energy from raw total energies = -7.42 eV/f.u.
1.0
-0.579 -3.235 1.196
0.349 -2.489 -6.566
7.629 -0.820 1.475
Ho Pu Ti N
2 2 2 6
direct
0.750 0.849 0.855
0.250 0.151 0.145
0.250 0.621 0.172
0.750 0.379 0.828
0.250 0.103 0.602
0.750 0.897 0.398
0.250 0.831 0.486
0.750 0.906 0.147
0.750 0.394 0.121
0.750 0.169 0.514
0.250 0.606 0.879
0.250 0.094 0.853